(1)
First-principles (PBE) data for an optimized crystal structure of Ca2Pm3Tl4, as listed in the Alexandria database.

The structure in CIF format:
```
data_Ca2Pm3Tl4
_space_group_name_H-M_alt 'C 1 2/m 1'
_space_group_IT_number 12
_cell_length_a 9.4210
_cell_length_b 5.4351
_cell_length_c 10.6208
_cell_angle_alpha 90.00
_cell_angle_beta 90.05
_cell_angle_gamma 90.00
loop_
_space_group_symop_operation_xyz
'x,y,z'
'-x,-y,-z'
'-x,y,-z'
'x,-y,z'
'x+1/2,y+1/2,z'
'-x+1/2,-y+1/2,-z'
'-x+1/2,y+1/2,-z'
'x+1/2,-y+1/2,z'
loop_
_atom_site_label
_atom_site_type_symbol
_atom_site_fract_x
_atom_site_fract_y
_atom_site_fract_z
Ca1 Ca 0.1668 0.0000 0.2214
Pm1 Pm 0.0000 0.5000 0.0000
Pm2 Pm 0.1664 0.0000 0.5875
Tl1 Tl 0.0003 0.5000 0.3484
Tl2 Tl 0.1667 0.0000 0.9028
```

Properties
Density of states at the Fermi level = 12.3 states/eV per cell

=====

(2)
First-principles (PBE) data for an optimized crystal structure of Ca2Pm3Tl4, as listed in the Alexandria database.

The structure in CIF format:
```
data_Ca2Pm3Tl4
_space_group_name_H-M_alt 'C m c e'
_space_group_IT_number 64
_space_group_name_Hall '-C 2ac 2'
_cell_length_a 7.4575
_cell_length_b 16.6915
_cell_length_c 9.4705
_cell_angle_alpha 90.00
_cell_angle_beta 90.00
_cell_angle_gamma 90.00
loop_
_atom_site_label
_atom_site_type_symbol
_atom_site_fract_x
_atom_site_fract_y
_atom_site_fract_z
Ca1 Ca 0.0000 0.1094 0.0709
Pm1 Pm 0.0000 0.0000 0.5000
Pm2 Pm 0.2500 0.2153 0.7500
Tl1 Tl 0.0000 0.1895 0.4665
Tl2 Tl 0.2500 0.0272 0.7500
```

Properties
Density of states at the Fermi level = 35.1 states/eV per cell

=====

(1) wins, 0.113 eV/atom ahead of the next structure.